Record 1
# SrGa3Cu3 GGA-PBE optimized geometry
# Offset from the most stable computed form   109 meV/atom
data_SrGa3Cu3
_cell_length_a 6.726
_cell_length_b 6.726
_cell_length_c 6.726
_cell_angle_alpha 90.00
_cell_angle_beta 90.00
_cell_angle_gamma 90.00
_symmetry_space_group_name_H-M 'P m -3 n'
_symmetry_Int_Tables_number 223
_symmetry_space_group_name_Hall '-P 4n 2 3'
loop_
_atom_site_label
_atom_site_type_symbol
_atom_site_fract_x
_atom_site_fract_y
_atom_site_fract_z
_atom_site_occupancy
Sr1 Sr 0.000 0.000 0.000 1
Ga1 Ga 0.000 0.250 0.500 1
Cu1 Cu 0.000 0.500 0.250 1

=====

Record 2
This record from Alexandria via LeMat-Bulk describes SrGa2Cu after structural relaxation. The functional is GGA-PBE.

```
data_SrGa2Cu
_cell_length_a 4.444
_cell_length_b 6.451
_cell_length_c 7.113
_cell_angle_alpha 90.00
_cell_angle_beta 90.00
_cell_angle_gamma 90.00
_symmetry_space_group_name_H-M 'A m m 2'
_symmetry_Int_Tables_number 38
_symmetry_space_group_name_Hall 'A 2 -2'
loop_
_atom_site_label
_atom_site_type_symbol
_atom_site_fract_x
_atom_site_fract_y
_atom_site_fract_z
_atom_site_occupancy
Sr1 Sr 0.000 0.000 0.000 1
Ga1 Ga 0.500 0.192 0.687 1
Cu1 Cu 0.500 0.000 0.380 1
```

=====

Record 3
This record from Alexandria via LeMat-Bulk describes SrGa3Cu after structural relaxation. The functional is GGA-PBE.

```
data_SrGa3Cu
_cell_length_a 6.4964
_cell_length_b 6.4964
_cell_length_c 5.6164
_cell_angle_alpha 90.00
_cell_angle_beta 90.00
_cell_angle_gamma 120.00
_symmetry_space_group_name_H-M 'P 63/m m c'
_symmetry_Int_Tables_number 194
_symmetry_space_group_name_Hall '-P 6c 2c'
loop_
_atom_site_label
_atom_site_type_symbol
_atom_site_fract_x
_atom_site_fract_y
_atom_site_fract_z
_atom_site_occupancy
Sr1 Sr 0.3333 0.6667 0.2500 1
Ga1 Ga 0.1870 0.3740 0.7500 1
Cu1 Cu 0.0000 0.0000 0.0000 1
```

=====

Record 4
This record from Alexandria via LeMat-Bulk describes SrGa3Cu8 after structural relaxation. The functional is GGA-PBE.

```
data_SrGa3Cu8
_cell_length_a 4.9754
_cell_length_b 4.9754
_cell_length_c 8.5352
_cell_angle_alpha 90.00
_cell_angle_beta 90.00
_cell_angle_gamma 120.00
_symmetry_space_group_name_H-M 'P 3 m 1'
_symmetry_Int_Tables_number 156
_symmetry_space_group_name_Hall 'P 3 -2"'
loop_
_atom_site_label
_atom_site_type_symbol
_atom_site_fract_x
_atom_site_fract_y
_atom_site_fract_z
_atom_site_occupancy
Sr1 Sr 0.0000 0.0000 0.0000 1
Ga1 Ga 0.0000 0.0000 0.3851 1
Ga2 Ga 0.6667 0.3333 0.4771 1
Ga3 Ga 0.6667 0.3333 0.8058 1
Cu1 Cu 0.1654 0.3308 0.6732 1
Cu2 Cu 0.3333 0.6667 0.4377 1
Cu3 Cu 0.3333 0.6667 0.9273 1
Cu4 Cu 0.5014 0.0027 0.2050 1
```

=====

For each record above, in turn, the calculated spin magnetization values are 0.00, 0.00, 0.00, 0.00 Bohr magnetons per cell.
For each record above, in turn, the calculated formation energy values are -0.02, -0.38, -1.26, -0.07 eV/f.u..
For each record above, in turn, the calculated N(E_F) values are 3.33, 2.36, 3.06, 6.78 states/eV/f.u..